Below is an optimized crystal structure of Li5Cd5Ag2, with properties calculated at the PBE level.

Cell lengths 12.9108, 4.2021, 9.3695 Å; angles 90.00, 117.78, 90.00 degrees
Space group C2/m (No. 12)
Inequivalent atoms, fractional coordinates:
Li1 0.0000 0.0000 0.0000 (multiplicity 2)
Li2 0.0789 0.0000 0.7422 (multiplicity 4)
Li3 0.2503 0.0000 0.2624 (multiplicity 4)
Cd1 0.0000 0.5000 0.5000 (multiplicity 2)
Cd2 0.0876 0.5000 0.2521 (multiplicity 4)
Cd3 0.1683 0.5000 0.9987 (multiplicity 4)
Ag1 0.1647 0.0000 0.5022 (multiplicity 4)

Calculated values
E_tot, eV per atom: -1.87
Calculated volume, Å³/atom: 18.7
Formation energy from the elements, eV/atom: -0.220